1.
Pu5Ir2Pb2: relaxed, PBE.

Summary:
- final energy (eV/cell) = -198.36
- calculated formation energy (eV per atom) = -0.264
- symmetry = Cmce (64)
- M_tot (μB/atom) = 3.083

Cell: 7.6881 7.7066 8.9682 Å, 115.45 90.00 90.00°
Last column: magnetic moment on the atom in μB.
Element x y z (fractional)
Pu: 0.6615 0.2768 0.2267  5.33
Pb: 0.0000 0.7818 0.5635  -0.01
Pu: 0.3385 0.9499 0.2267  5.33
Pu: 0.6615 0.0501 0.7733  5.33
Pb: 0.5000 0.2818 0.5635  -0.01
Pb: 0.0000 0.2182 0.4365  -0.01
Pu: 0.0000 0.0000 0.0000  5.36
Pb: 0.5000 0.7182 0.4365  -0.01
Pu: 0.3385 0.7232 0.7733  5.33
Ir: 0.8614 0.3624 0.0000  -0.28
Ir: 0.1386 0.6376 0.0000  -0.28
Pu: 0.5000 0.5000 0.0000  5.36
Ir: 0.6386 0.8624 0.0000  -0.28
Ir: 0.3614 0.1376 0.0000  -0.28
Pu: 0.1615 0.4499 0.2267  5.33
Pu: 0.8385 0.5501 0.7733  5.33
Pu: 0.1615 0.2232 0.7733  5.33
Pu: 0.8385 0.7768 0.2267  5.33

---

2.
Pu3IrPb: relaxed, PBE.

Summary:
- final energy (eV/cell) = -168.64
- calculated formation energy (eV per atom) = -0.130
- symmetry = Pm-3m (221)
- M_tot (μB/atom) = 3.323

Cell: 7.1804 7.1804 7.1804 Å, 90.00 90.00 90.00°
Last column: magnetic moment on the atom in μB.
Element x y z (fractional)
Pu: 0.7793 0.7793 0.7793  5.36
Pu: 0.7793 0.7793 0.2207  5.36
Ir: 0.0000 0.5000 0.0000  -0.39
Pu: 0.2207 0.7793 0.7793  5.36
Pu: 0.7793 0.2207 0.2207  5.36
Pu: 0.2207 0.2207 0.2207  5.36
Pu: 0.2207 0.2207 0.7793  5.36
Pu: 0.5000 0.5000 0.5000  5.79
Pu: 0.7793 0.2207 0.7793  5.36
Pb: 0.5000 0.5000 0.0000  -0.09
Ir: 0.0000 0.0000 0.5000  -0.39
Pu: 0.2207 0.7793 0.2207  5.36
Ir: 0.5000 0.0000 0.0000  -0.39
Pb: 0.5000 0.0000 0.5000  -0.09
Pb: 0.0000 0.5000 0.5000  -0.09

---

3.
Pu4Ir2Pb: relaxed, PBE.

Summary:
- final energy (eV/cell) = -80.10
- calculated formation energy (eV per atom) = -0.192
- symmetry = R-3m (166)
- M_tot (μB/atom) = 2.907

Cell: 4.8797 4.8797 8.0062 Å, 72.26 72.26 60.00°
Last column: magnetic moment on the atom in μB.
Element x y z (fractional)
Ir: 0.8635 0.8635 0.4096  -0.41
Pb: 0.0000 0.0000 0.0000  -0.10
Pu: 0.4320 0.4320 0.7041  5.22
Pu: 0.7397 0.7397 0.7810  5.18
Pu: 0.5680 0.5680 0.2959  5.22
Ir: 0.1365 0.1365 0.5904  -0.41
Pu: 0.2603 0.2603 0.2190  5.18